1.
First-principles (PBE-GGA) data for a relaxed structure of TlP2PtS, as listed in Alexandria.

POSCAR file:
```
TlP2PtS
1.0
5.053 0.000 0.000
0.000 5.053 0.000
0.000 0.000 4.933
Tl P Pt S
1 2 1 1
direct
0.000 0.000 0.000
0.000 0.500 0.000
0.500 0.000 0.000
0.500 0.500 0.500
0.000 0.000 0.500
```

Results
The value obtained for the density of states at the Fermi level is 6.19 states/eV/f.u. As for the space group: P4/mmm (123).



2.
First-principles (PBE-GGA) data for a relaxed structure of TlP2PtS, as listed in Alexandria.

POSCAR file:
```
TlP2PtS
1.0
4.638 0.000 0.000
0.000 4.638 0.000
0.000 0.000 5.334
Tl P Pt S
1 2 1 1
direct
0.000 0.000 0.000
0.000 0.500 0.500
0.500 0.000 0.500
0.500 0.500 0.500
0.500 0.500 0.000
```

Results
The value obtained for the density of states at the Fermi level is 5.89 states/eV/f.u. As for the space group: P4/mmm (123).



Computed energies relative to the best structure, in eV/atom: 1 1.272; 2 0.000



1.
First-principles (PBE-GGA) data for a relaxed structure of VP2PtS, as listed in Alexandria.

POSCAR file:
```
VP2PtS
1.0
4.542 0.000 0.000
0.000 4.542 0.000
0.000 0.000 4.335
V P Pt S
1 2 1 1
direct
0.000 0.000 0.000
0.000 0.500 0.000
0.500 0.000 0.000
0.500 0.500 0.500
0.000 0.000 0.500
```

Results
The value obtained for the density of states at the Fermi level is 3.38 states/eV/f.u. As for the space group: P4/mmm (123).



2.
First-principles (PBE-GGA) data for a relaxed structure of VP2PtS, as listed in Alexandria.

POSCAR file:
```
VP2PtS
1.0
4.589 0.000 0.000
0.000 4.589 0.000
0.000 0.000 4.789
V P Pt S
1 2 1 1
direct
0.000 0.000 0.000
0.000 0.500 0.500
0.500 0.000 0.500
0.500 0.500 0.500
0.500 0.500 0.000
```

Results
The value obtained for the density of states at the Fermi level is 6.43 states/eV/f.u. As for the space group: P4/mmm (123).



Computed energies relative to the best structure, in eV/atom: 1 0.000; 2 0.499



1.
First-principles (PBE-GGA) data for a relaxed structure of PPtWS2, as listed in Alexandria.

POSCAR file:
```
PPtWS2
1.0
4.562 0.000 0.000
0.000 4.562 0.000
0.000 0.000 4.829
P Pt W S
1 1 1 2
direct
0.000 0.000 0.000
0.500 0.500 0.000
0.000 0.000 0.500
0.000 0.500 0.500
0.500 0.000 0.500
```

Results
The value obtained for the density of states at the Fermi level is 5.42 states/eV/f.u. As for the space group: P4/mmm (123).



2.
First-principles (PBE-GGA) data for a relaxed structure of PPtWS2, as listed in Alexandria.

POSCAR file:
```
PPtWS2
1.0
4.651 0.000 0.000
0.000 4.651 0.000
0.000 0.000 4.598
P Pt W S
1 1 1 2
direct
0.000 0.000 0.000
0.000 0.000 0.500
0.500 0.500 0.000
0.000 0.500 0.500
0.500 0.000 0.500
```

Results
The value obtained for the density of states at the Fermi level is 2.51 states/eV/f.u. As for the space group: P4/mmm (123).



Computed energies relative to the best structure, in eV/atom: 1 0.000; 2 0.558